Entry 1:
Density functional theory data (GGA-PBE) for a relaxed HoHg5Pb2 crystal.

It has space group I4/mmm (No. 139), with a = 4.7012 Å, b = 4.7012 Å, c = 19.0520 Å, α = 90.00°, β = 90.00° and γ = 90.00°. The asymmetric unit holds Ho at (0.0000, 0.0000, 0.0000), Hg at (0.0000, 0.0000, 0.5000), Hg at (0.0000, 0.5000, 0.1159) and Pb at (0.0000, 0.0000, 0.2351).

The value obtained for the energy of formation is -0.1598 eV/atom. As for the total moment: 0.00 μB/f.u.


Entry 2:
Density functional theory data (GGA-PBE) for a relaxed HoHgPb crystal.

It has space group Pnma (No. 62), with a = 6.5904 Å, b = 4.8926 Å, c = 9.8958 Å, α = 90.00°, β = 90.00° and γ = 90.00°. The asymmetric unit holds Ho at (0.1918, 0.2500, 0.0910), Hg at (0.1966, 0.2500, 0.4158) and Pb at (0.0364, 0.2500, 0.7421).

The value obtained for the energy of formation is -0.3607 eV/atom. As for the total moment: 0.00 μB/f.u.


In Mg/m³, the theoretical density values for the records above are, in order, 12.48 11.92.